The following is a DFT calculation (PBE-GGA) of a relaxed Ta3Tc2 crystal.

## Properties
The calculation puts the total magnetization at 0.0 μB/f.u. Its energy relative to the elements is -97 meV per atom.

Lattice parameters (Å, degrees): 5.481 9.137 13.578 90.00 90.00 90.00
Space group Fddd (No. 70, origin choice 2)
Asymmetric unit:
Ta (0.125, 0.125, 0.018) [16 per cell]
Ta (0.125, 0.125, 0.625) [8 per cell]
Tc (0.125, 0.125, 0.426) [16 per cell]

---

The following is a DFT calculation (PBE-GGA) of a relaxed Cs2Ge2Pt crystal.

## Properties
The calculation puts the total magnetization at 0.0 μB/f.u. Its energy relative to the elements is -208 meV per atom.

Lattice parameters (Å, degrees): 16.248 4.496 12.449 90.00 128.66 90.00
Space group C2/m (No. 12)
Asymmetric unit:
Cs (0.001, 0.000, 0.340) [4 per cell]
Cs (0.205, 0.000, 0.105) [4 per cell]
Ge (0.013, 0.500, 0.109) [4 per cell]
Ge (0.225, 0.500, 0.572) [4 per cell]
Pt (0.186, 0.500, 0.339) [4 per cell]

---

The following is a DFT calculation (PBE-GGA) of a relaxed TlCu6Te4 crystal.

## Properties
The calculation puts the total magnetization at 0.0 μB/f.u. The value obtained for the energy is -3.6299 eV/atom.

Lattice parameters (Å, degrees): 4.085 4.085 29.143 90.00 90.00 90.00
Space group I4/mmm (No. 139)
Asymmetric unit:
Tl (0.000, 0.000, 0.000) [2 per cell]
Cu (0.000, 0.500, 0.129) [8 per cell]
Cu (0.000, 0.500, 0.250) [4 per cell]
Te (0.000, 0.000, 0.191) [4 per cell]
Te (0.000, 0.000, 0.427) [4 per cell]

---

The following is a DFT calculation (PBE-GGA) of a relaxed La2Tb2Se5 crystal.

## Properties
The calculation puts the total magnetization at 0.0 μB/f.u. The value obtained for the energy is -5.9056 eV/atom.

Lattice parameters (Å, degrees): 15.005 7.894 7.847 90.00 90.00 90.00
Space group Cmce (No. 64)
Asymmetric unit:
La (0.197, 0.000, 0.000) [8 per cell]
Tb (0.000, 0.152, 0.344) [8 per cell]
Se (0.000, 0.000, 0.000) [4 per cell]
Se (0.133, 0.157, 0.653) [16 per cell]